Record 1
SbC2 | meta-GGA SCAN | single point on PBEsol structure

Magnetization: 0.0 μB per formula unit
Raw total energy: -17.97 eV/atom
Density of states at the Fermi level: 0.71 states/eV/f.u.
Crystal system: orthorhombic

POSCAR file:
```
SbC2
1.0
-1.468 -1.775 2.419
3.451 -2.347 0.372
1.882 3.337 3.591
Sb C
2 4
Direct
0.000 0.000 0.000
0.500 0.500 0.500
0.000 0.133 0.579
0.000 0.867 0.421
0.500 0.633 0.921
0.500 0.367 0.079
```

=====

Record 2
SbC3 | meta-GGA SCAN | single point on PBEsol structure

Magnetization: 0.0 μB per formula unit
Raw total energy: -15.31 eV/atom
Density of states at the Fermi level: 0.90 states/eV/f.u.
Crystal system: tetragonal

POSCAR file:
```
SbC3
1.0
2.683 0.000 0.000
0.000 2.683 0.000
0.000 0.000 6.049
Sb C
1 3
Direct
0.500 0.500 0.000
0.500 0.000 0.632
0.000 0.000 0.500
0.000 0.500 0.368
```

=====

Record 3
SbC2 | meta-GGA SCAN | single point on PBEsol structure

Magnetization: 0.0 μB per formula unit
Raw total energy: -18.04 eV/atom
Density of states at the Fermi level: 0.57 states/eV/f.u.
Crystal system: orthorhombic

POSCAR file:
```
SbC2
1.0
3.021 0.000 0.000
0.000 6.332 0.000
-1.510 -3.166 6.402
Sb C
2 4
Direct
0.504 0.754 0.007
0.496 0.246 0.993
0.884 0.134 0.768
0.116 0.866 0.232
0.779 0.029 0.557
0.221 0.971 0.443
```